#one
{
  "formula": "TcTePt3",
  "functional": "PBE-GGA",
  "state": "optimized geometry",
  "total_magnetization_mub_per_fu": 0.00,
  "spacegroup": "Pm-3m (221)",
  "lattice": [[4.826, 0.000, 0.000], [0.000, 4.826, 0.000], [0.000, 0.000, 4.826]],
  "species": ["Tc", "Te", "Pt", "Pt", "Pt"],
  "fractional_positions": [[0.000, 0.000, 0.000], [0.500, 0.500, 0.500], [0.000, 0.000, 0.500], [0.000, 0.500, 0.000], [0.500, 0.000, 0.000]]
}

#two
{
  "formula": "TcTePt3",
  "functional": "PBE-GGA",
  "state": "optimized geometry",
  "total_magnetization_mub_per_fu": 4.60,
  "spacegroup": "Pm-3m (221)",
  "lattice": [[4.927, 0.000, 0.000], [0.000, 4.927, 0.000], [0.000, 0.000, 4.927]],
  "species": ["Tc", "Te", "Pt", "Pt", "Pt"],
  "fractional_positions": [[0.000, 0.000, 0.000], [0.500, 0.500, 0.500], [0.000, 0.500, 0.500], [0.500, 0.000, 0.500], [0.500, 0.500, 0.000]]
}

Ordering by calculated energy gives the sequence #one, #two, with the first entry being the most stable.

#one
{
  "formula": "VTc2Pt",
  "functional": "PBE-GGA",
  "state": "optimized geometry",
  "total_magnetization_mub_per_fu": 0.00,
  "spacegroup": "P4/mmm (123)",
  "lattice": [[3.820, 0.000, 0.000], [0.000, 3.820, 0.000], [0.000, 0.000, 3.954]],
  "species": ["V", "Tc", "Tc", "Pt"],
  "fractional_positions": [[0.000, 0.000, 0.000], [0.000, 0.500, 0.500], [0.500, 0.000, 0.500], [0.500, 0.500, 0.000]]
}

#two
{
  "formula": "VTc2Pt",
  "functional": "PBE-GGA",
  "state": "optimized geometry",
  "total_magnetization_mub_per_fu": 0.85,
  "spacegroup": "I-42d (122)",
  "lattice": [[3.751, 0.000, 0.000], [0.000, 3.751, 0.000], [0.000, 0.000, 18.198]],
  "species": ["V", "V", "V", "V", "Tc", "Tc", "Tc", "Tc", "Tc", "Tc", "Tc", "Tc", "Pt", "Pt", "Pt", "Pt"],
  "fractional_positions": [[0.000, 0.000, 0.000], [0.000, 0.500, 0.250], [0.500, 0.000, 0.750], [0.500, 0.500, 0.500], [0.208, 0.250, 0.125], [0.250, 0.708, 0.375], [0.250, 0.792, 0.875], [0.292, 0.250, 0.625], [0.708, 0.750, 0.625], [0.750, 0.208, 0.875], [0.750, 0.292, 0.375], [0.792, 0.750, 0.125], [0.000, 0.000, 0.500], [0.000, 0.500, 0.750], [0.500, 0.000, 0.250], [0.500, 0.500, 0.000]]
}

Ordering by calculated energy gives the sequence #one, #two, with the first entry being the most stable.

#one
{
  "formula": "YTc2Pt",
  "functional": "PBE-GGA",
  "state": "optimized geometry",
  "total_magnetization_mub_per_fu": 0.00,
  "spacegroup": "Fm-3m (225)",
  "lattice": [[6.509, 0.000, 0.000], [0.000, 6.509, 0.000], [0.000, 0.000, 6.509]],
  "species": ["Y", "Y", "Y", "Y", "Tc", "Tc", "Tc", "Tc", "Tc", "Tc", "Tc", "Tc", "Pt", "Pt", "Pt", "Pt"],
  "fractional_positions": [[0.000, 0.000, 0.000], [0.000, 0.500, 0.500], [0.500, 0.000, 0.500], [0.500, 0.500, 0.000], [0.250, 0.250, 0.250], [0.250, 0.250, 0.750], [0.250, 0.750, 0.250], [0.250, 0.750, 0.750], [0.750, 0.250, 0.250], [0.750, 0.250, 0.750], [0.750, 0.750, 0.250], [0.750, 0.750, 0.750], [0.000, 0.000, 0.500], [0.000, 0.500, 0.000], [0.500, 0.000, 0.000], [0.500, 0.500, 0.500]]
}

#two
{
  "formula": "YTc2Pt",
  "functional": "PBE-GGA",
  "state": "optimized geometry",
  "total_magnetization_mub_per_fu": 1.42,
  "spacegroup": "I-42d (122)",
  "lattice": [[7.766, 0.000, 0.000], [0.000, 7.766, 0.000], [0.000, 0.000, 5.217]],
  "species": ["Y", "Y", "Y", "Y", "Tc", "Tc", "Tc", "Tc", "Tc", "Tc", "Tc", "Tc", "Pt", "Pt", "Pt", "Pt"],
  "fractional_positions": [[0.000, 0.000, 0.000], [0.000, 0.500, 0.250], [0.500, 0.000, 0.750], [0.500, 0.500, 0.500], [0.209, 0.250, 0.625], [0.250, 0.709, 0.875], [0.250, 0.791, 0.375], [0.291, 0.250, 0.125], [0.709, 0.750, 0.125], [0.750, 0.209, 0.375], [0.750, 0.291, 0.875], [0.791, 0.750, 0.625], [0.000, 0.000, 0.500], [0.000, 0.500, 0.750], [0.500, 0.000, 0.250], [0.500, 0.500, 0.000]]
}

Ordering by calculated energy gives the sequence #one, #two, with the first entry being the most stable.

#one
{
  "formula": "YTc2Pt",
  "functional": "PBE-GGA",
  "state": "optimized geometry",
  "total_magnetization_mub_per_fu": 0.00,
  "spacegroup": "Pm (6)",
  "lattice": [[2.988, 0.000, 0.000], [0.000, 4.417, 0.000], [-1.070, 0.000, 5.405]],
  "species": ["Y", "Tc", "Tc", "Pt"],
  "fractional_positions": [[0.000, 0.000, 0.000], [0.266, 0.500, 0.638], [0.580, 0.000, 0.513], [0.574, 0.500, 0.203]]
}

#two
{
  "formula": "YTc2Pt",
  "functional": "PBE-GGA",
  "state": "optimized geometry",
  "total_magnetization_mub_per_fu": 0.00,
  "spacegroup": "P4mm (99)",
  "lattice": [[3.070, 0.000, 0.000], [0.000, 3.070, 0.000], [0.000, 0.000, 7.567]],
  "species": ["Y", "Tc", "Tc", "Pt"],
  "fractional_positions": [[0.000, 0.000, 0.000], [0.000, 0.000, 0.527], [0.500, 0.500, 0.707], [0.500, 0.500, 0.277]]
}

Ordering by calculated energy gives the sequence #two, #one, with the first entry being the most stable.

#one
{
  "formula": "YTcPt3",
  "functional": "PBE-GGA",
  "state": "optimized geometry",
  "total_magnetization_mub_per_fu": 0.00,
  "spacegroup": "Pm-3m (221)",
  "lattice": [[4.830, 0.000, 0.000], [0.000, 4.830, 0.000], [0.000, 0.000, 4.830]],
  "species": ["Y", "Tc", "Pt", "Pt", "Pt"],
  "fractional_positions": [[0.000, 0.000, 0.000], [0.500, 0.500, 0.500], [0.000, 0.500, 0.500], [0.500, 0.000, 0.500], [0.500, 0.500, 0.000]]
}

#two
{
  "formula": "YTcPt3",
  "functional": "PBE-GGA",
  "state": "optimized geometry",
  "total_magnetization_mub_per_fu": 3.97,
  "spacegroup": "Pm-3m (221)",
  "lattice": [[5.040, 0.000, 0.000], [0.000, 5.040, 0.000], [0.000, 0.000, 5.040]],
  "species": ["Y", "Tc", "Pt", "Pt", "Pt"],
  "fractional_positions": [[0.000, 0.000, 0.000], [0.500, 0.500, 0.500], [0.000, 0.000, 0.500], [0.000, 0.500, 0.000], [0.500, 0.000, 0.000]]
}

Ordering by calculated energy gives the sequence #one, #two, with the first entry being the most stable.

#one
{
  "formula": "ZnTcPt3",
  "functional": "PBE-GGA",
  "state": "optimized geometry",
  "total_magnetization_mub_per_fu": 4.87,
  "spacegroup": "Pm-3m (221)",
  "lattice": [[4.589, 0.000, 0.000], [0.000, 4.589, 0.000], [0.000, 0.000, 4.589]],
  "species": ["Zn", "Tc", "Pt", "Pt", "Pt"],
  "fractional_positions": [[0.000, 0.000, 0.000], [0.500, 0.500, 0.500], [0.000, 0.000, 0.500], [0.000, 0.500, 0.000], [0.500, 0.000, 0.000]]
}

#two
{
  "formula": "ZnTcPt3",
  "functional": "PBE-GGA",
  "state": "optimized geometry",
  "total_magnetization_mub_per_fu": 0.00,
  "spacegroup": "Pm-3m (221)",
  "lattice": [[4.805, 0.000, 0.000], [0.000, 4.805, 0.000], [0.000, 0.000, 4.805]],
  "species": ["Zn", "Tc", "Pt", "Pt", "Pt"],
  "fractional_positions": [[0.000, 0.000, 0.000], [0.500, 0.500, 0.500], [0.000, 0.500, 0.500], [0.500, 0.000, 0.500], [0.500, 0.500, 0.000]]
}

Ordering by calculated energy gives the sequence #one, #two, with the first entry being the most stable.

#one
{
  "formula": "ZnTcPt",
  "functional": "PBE-GGA",
  "state": "optimized geometry",
  "total_magnetization_mub_per_fu": 0.00,
  "spacegroup": "Imm2 (44)",
  "lattice": [[2.728, 0.000, 0.000], [0.000, 3.921, 0.000], [0.000, 0.000, 8.219]],
  "species": ["Zn", "Zn", "Tc", "Tc", "Pt", "Pt"],
  "fractional_positions": [[0.000, 0.000, 0.000], [0.500, 0.500, 0.500], [0.000, 0.000, 0.335], [0.500, 0.500, 0.835], [0.000, 0.000, 0.666], [0.500, 0.500, 0.166]]
}

#two
{
  "formula": "ZnTcPt",
  "functional": "PBE-GGA",
  "state": "optimized geometry",
  "total_magnetization_mub_per_fu": 0.00,
  "spacegroup": "P-6m2 (187)",
  "lattice": [[2.786, 0.000, 0.000], [-1.393, 2.412, 0.000], [0.000, 0.000, 13.214]],
  "species": ["Zn", "Zn", "Tc", "Tc", "Pt", "Pt"],
  "fractional_positions": [[0.000, 0.000, 0.166], [0.000, 0.000, 0.834], [0.000, 0.000, 0.500], [0.333, 0.667, 0.000], [0.333, 0.667, 0.332], [0.333, 0.667, 0.668]]
}

Ordering by calculated energy gives the sequence #two, #one, with the first entry being the most stable.

#one
{
  "formula": "ZnTcPt",
  "functional": "PBE-GGA",
  "state": "optimized geometry",
  "total_magnetization_mub_per_fu": 0.00,
  "spacegroup": "I4mm (107)",
  "lattice": [[2.764, 0.000, 0.000], [0.000, 2.764, 0.000], [0.000, 0.000, 11.596]],
  "species": ["Zn", "Zn", "Tc", "Tc", "Pt", "Pt"],
  "fractional_positions": [[0.000, 0.000, 0.000], [0.500, 0.500, 0.500], [0.000, 0.000, 0.669], [0.500, 0.500, 0.169], [0.000, 0.000, 0.330], [0.500, 0.500, 0.830]]
}

#two
{
  "formula": "ZnTcPt",
  "functional": "PBE-GGA",
  "state": "optimized geometry",
  "total_magnetization_mub_per_fu": 0.00,
  "spacegroup": "P3m1 (156)",
  "lattice": [[2.774, 0.000, 0.000], [-1.387, 2.402, 0.000], [0.000, 0.000, 6.662]],
  "species": ["Zn", "Tc", "Pt"],
  "fractional_positions": [[0.000, 0.000, 0.000], [0.333, 0.667, 0.665], [0.667, 0.333, 0.334]]
}

Ordering by calculated energy gives the sequence #one, #two, with the first entry being the most stable.

#one
{
  "formula": "ZrTcPt2",
  "functional": "PBE-GGA",
  "state": "optimized geometry",
  "total_magnetization_mub_per_fu": 1.70,
  "spacegroup": "I-4m2 (119)",
  "lattice": [[4.047, 0.000, 0.000], [0.000, 4.047, 0.000], [0.000, 0.000, 8.158]],
  "species": ["Zr", "Zr", "Tc", "Tc", "Pt", "Pt", "Pt", "Pt"],
  "fractional_positions": [[0.000, 0.000, 0.000], [0.500, 0.500, 0.500], [0.000, 0.500, 0.750], [0.500, 0.000, 0.250], [0.000, 0.000, 0.500], [0.000, 0.500, 0.250], [0.500, 0.000, 0.750], [0.500, 0.500, 0.000]]
}

#two
{
  "formula": "ZrTcPt2",
  "functional": "PBE-GGA",
  "state": "optimized geometry",
  "total_magnetization_mub_per_fu": 0.00,
  "spacegroup": "I4/mmm (139)",
  "lattice": [[3.982, 0.000, 0.000], [0.000, 3.982, 0.000], [0.000, 0.000, 8.286]],
  "species": ["Zr", "Zr", "Tc", "Tc", "Pt", "Pt", "Pt", "Pt"],
  "fractional_positions": [[0.000, 0.000, 0.000], [0.500, 0.500, 0.500], [0.000, 0.000, 0.500], [0.500, 0.500, 0.000], [0.000, 0.500, 0.250], [0.000, 0.500, 0.750], [0.500, 0.000, 0.250], [0.500, 0.000, 0.750]]
}

#three
{
  "formula": "ZrTcPt2",
  "functional": "PBE-GGA",
  "state": "optimized geometry",
  "total_magnetization_mub_per_fu": 0.70,
  "spacegroup": "P4/mmm (123)",
  "lattice": [[3.984, 0.000, 0.000], [0.000, 3.984, 0.000], [0.000, 0.000, 4.130]],
  "species": ["Zr", "Tc", "Pt", "Pt"],
  "fractional_positions": [[0.000, 0.000, 0.000], [0.500, 0.500, 0.000], [0.000, 0.500, 0.500], [0.500, 0.000, 0.500]]
}

#four
{
  "formula": "ZrTcPt2",
  "functional": "PBE-GGA",
  "state": "optimized geometry",
  "total_magnetization_mub_per_fu": 0.00,
  "spacegroup": "P4mm (99)",
  "lattice": [[2.843, 0.000, 0.000], [0.000, 2.843, 0.000], [0.000, 0.000, 8.278]],
  "species": ["Zr", "Tc", "Pt", "Pt"],
  "fractional_positions": [[0.000, 0.000, 0.000], [0.500, 0.500, 0.726], [0.000, 0.000, 0.508], [0.500, 0.500, 0.251]]
}

Ordering by calculated energy gives the sequence #three, #two, #one, #four, with the first entry being the most stable.

#one
{
  "formula": "ZrTcPt2",
  "functional": "PBE-GGA",
  "state": "optimized geometry",
  "total_magnetization_mub_per_fu": 0.00,
  "spacegroup": "Cmmm (65)",
  "lattice": [[5.634, 0.000, 0.000], [0.000, 8.189, 0.000], [0.000, 0.000, 2.844]],
  "species": ["Zr", "Zr", "Tc", "Tc", "Pt", "Pt", "Pt", "Pt"],
  "fractional_positions": [[0.000, 0.000, 0.000], [0.500, 0.500, 0.000], [0.000, 0.500, 0.000], [0.500, 0.000, 0.000], [0.250, 0.250, 0.500], [0.250, 0.750, 0.500], [0.750, 0.250, 0.500], [0.750, 0.750, 0.500]]
}

#two
{
  "formula": "ZrTcPt2",
  "functional": "PBE-GGA",
  "state": "optimized geometry",
  "total_magnetization_mub_per_fu": 1.95,
  "spacegroup": "Fm-3m (225)",
  "lattice": [[6.517, 0.000, 0.000], [0.000, 6.517, 0.000], [0.000, 0.000, 6.517]],
  "species": ["Zr", "Zr", "Zr", "Zr", "Tc", "Tc", "Tc", "Tc", "Pt", "Pt", "Pt", "Pt", "Pt", "Pt", "Pt", "Pt"],
  "fractional_positions": [[0.000, 0.000, 0.000], [0.000, 0.500, 0.500], [0.500, 0.000, 0.500], [0.500, 0.500, 0.000], [0.000, 0.000, 0.500], [0.000, 0.500, 0.000], [0.500, 0.000, 0.000], [0.500, 0.500, 0.500], [0.250, 0.250, 0.250], [0.250, 0.250, 0.750], [0.250, 0.750, 0.250], [0.250, 0.750, 0.750], [0.750, 0.250, 0.250], [0.750, 0.250, 0.750], [0.750, 0.750, 0.250], [0.750, 0.750, 0.750]]
}

Ordering by calculated energy gives the sequence #one, #two, with the first entry being the most stable.

#one
{
  "formula": "ZrTc2Pt2",
  "functional": "PBE-GGA",
  "state": "optimized geometry",
  "total_magnetization_mub_per_fu": 0.00,
  "spacegroup": "P4/mbm (127)",
  "lattice": [[7.713, 0.000, 0.000], [0.000, 7.713, 0.000], [0.000, 0.000, 2.808]],
  "species": ["Zr", "Zr", "Tc", "Tc", "Tc", "Tc", "Pt", "Pt", "Pt", "Pt"],
  "fractional_positions": [[0.000, 0.000, 0.000], [0.500, 0.500, 0.000], [0.114, 0.386, 0.000], [0.386, 0.886, 0.000], [0.614, 0.114, 0.000], [0.886, 0.614, 0.000], [0.182, 0.682, 0.500], [0.318, 0.182, 0.500], [0.682, 0.818, 0.500], [0.818, 0.318, 0.500]]
}

#two
{
  "formula": "ZrTc2Pt2",
  "functional": "PBE-GGA",
  "state": "optimized geometry",
  "total_magnetization_mub_per_fu": 0.00,
  "spacegroup": "I4/mmm (139)",
  "lattice": [[3.944, 0.000, 0.000], [0.000, 3.944, 0.000], [0.000, 0.000, 11.475]],
  "species": ["Zr", "Zr", "Tc", "Tc", "Tc", "Tc", "Pt", "Pt", "Pt", "Pt"],
  "fractional_positions": [[0.000, 0.000, 0.000], [0.500, 0.500, 0.500], [0.000, 0.000, 0.404], [0.000, 0.000, 0.596], [0.500, 0.500, 0.096], [0.500, 0.500, 0.904], [0.000, 0.500, 0.250], [0.000, 0.500, 0.750], [0.500, 0.000, 0.250], [0.500, 0.000, 0.750]]
}

Ordering by calculated energy gives the sequence #one, #two, with the first entry being the most stable.

#one
{
  "formula": "TePt2",
  "functional": "PBE-GGA",
  "state": "optimized geometry",
  "total_magnetization_mub_per_fu": 0.00,
  "spacegroup": "P4/mmm (123)",
  "lattice": [[3.920, 0.000, 0.000], [0.000, 3.920, 0.000], [0.000, 0.000, 4.025]],
  "species": ["Te", "Pt", "Pt"],
  "fractional_positions": [[0.000, 0.000, 0.000], [0.000, 0.500, 0.500], [0.500, 0.000, 0.500]]
}

#two
{
  "formula": "TePt2",
  "functional": "PBE-GGA",
  "state": "optimized geometry",
  "total_magnetization_mub_per_fu": 0.00,
  "spacegroup": "Fm-3m (225)",
  "lattice": [[6.293, 0.000, 0.000], [0.000, 6.293, 0.000], [0.000, 0.000, 6.293]],
  "species": ["Te", "Te", "Te", "Te", "Pt", "Pt", "Pt", "Pt", "Pt", "Pt", "Pt", "Pt"],
  "fractional_positions": [[0.000, 0.000, 0.000], [0.000, 0.500, 0.500], [0.500, 0.000, 0.500], [0.500, 0.500, 0.000], [0.250, 0.250, 0.250], [0.250, 0.250, 0.750], [0.250, 0.750, 0.250], [0.250, 0.750, 0.750], [0.750, 0.250, 0.250], [0.750, 0.250, 0.750], [0.750, 0.750, 0.250], [0.750, 0.750, 0.750]]
}

#three
{
  "formula": "TePt2",
  "functional": "PBE-GGA",
  "state": "optimized geometry",
  "total_magnetization_mub_per_fu": 0.00,
  "spacegroup": "Cmc2_1 (36)",
  "lattice": [[3.728, 0.000, 0.000], [0.000, 11.428, 0.000], [0.000, 0.000, 5.403]],
  "species": ["Te", "Te", "Te", "Te", "Pt", "Pt", "Pt", "Pt", "Pt", "Pt", "Pt", "Pt"],
  "fractional_positions": [[0.000, 0.185, 0.000], [0.000, 0.815, 0.500], [0.500, 0.315, 0.500], [0.500, 0.685, 0.000], [0.000, 0.136, 0.493], [0.000, 0.477, 0.337], [0.000, 0.523, 0.837], [0.000, 0.864, 0.993], [0.500, 0.023, 0.837], [0.500, 0.364, 0.993], [0.500, 0.636, 0.493], [0.500, 0.977, 0.337]]
}

Ordering by calculated energy gives the sequence #three, #one, #two, with the first entry being the most stable.